No. 1
First-principles (PBE) data for an optimized crystal structure of BAsRuSe2, as listed in Alexandria via LeMat-Bulk.

Output
Magnetization ... 0.000 μB per formula unit
Distance to the lowest polymorph of the same formula ... 370 meV/atom
Formation energy without anion corrections ... 1.30 eV/atom

Cell lengths 4.9869, 4.9869, 4.6041 Å; angles 90.00, 90.00, 90.00 degrees
With the nearest neighbours (Å) after each atom.
Space group P4/mmm (No. 123)
One atom of each set of equivalent atoms:
B: 0.0000 0.0000 0.0000  8 Se 3.39, 4 As 3.53
As: 0.5000 0.5000 0.0000  2 Ru 2.30
Ru: 0.5000 0.5000 0.5000  2 As 2.30, 4 Se 2.49
Se: 0.0000 0.5000 0.5000  2 Ru 2.49



No. 2
First-principles (PBE) data for an optimized crystal structure of Nd3ErH, as listed in Alexandria via LeMat-Bulk.

Output
Magnetization ... 0.001 μB per formula unit
Uncorrected energy ... -4.6083 eV per atom

Cell lengths 5.1327, 5.1327, 5.1327 Å; angles 90.00, 90.00, 90.00 degrees
With the nearest neighbours (Å) after each atom.
Space group Pm-3m (No. 221)
One atom of each set of equivalent atoms:
Nd: 0.0000 0.0000 0.5000  2 H 2.57
Er: 0.5000 0.5000 0.5000  12 Nd 3.63
H: 0.0000 0.0000 0.0000  6 Nd 2.57



No. 3
First-principles (PBE) data for an optimized crystal structure of Cd2PbAu, as listed in Alexandria via LeMat-Bulk.

Output
Magnetization ... 0.000 μB per formula unit
Calculated formation energy ... -87.1 meV per atom

Cell lengths 4.3939, 8.2624, 5.7434 Å; angles 90.00, 111.71, 90.00 degrees
With the nearest neighbours (Å) after each atom.
Space group P2_1/m (No. 11)
One atom of each set of equivalent atoms:
Cd: 0.1326 0.0526 0.2708  3 Au 2.89-2.92, 1 Cd 3.02
Pb: 0.4347 0.2500 0.8827  3 Au 3.08-3.16, 4 Cd 3.40-3.41
Au: 0.2739 0.7500 0.5410  6 Cd 2.89-2.92, 3 Pb 3.08-3.16